Entry from Alexandria: an optimized crystal structure of VInS3 (PBE).

Output
- total energy (eV per atom) = -4.237
- offset from the most stable computed form (kJ/mol of atoms) = 91.0
- E_form (uncorrected) (kJ/mol of atoms) = 58.97
- total magnetization (μB per formula unit) = 2.02

The structure in POSCAR format:
```
VInS3
1.0
4.9595 0.0000 0.0000
0.0000 4.9595 0.0000
0.0000 0.0000 4.9595
S In V
3 1 1
Cartesian
0.0000 2.4798 0.0000
0.0000 0.0000 2.4798
2.4798 0.0000 0.0000
0.0000 0.0000 0.0000
2.4798 2.4798 2.4798
```